1.
Below is KLiF2 after structural relaxation, with properties calculated at the GGA-PBE level.

Lattice parameters (Å, degrees): 6.129 6.129 6.129 31.01 31.01 31.01
Sites, in units of the cell vectors:
K 0.000 0.000 0.000
Li 0.830 0.830 0.830
F 0.231 0.231 0.231
F 0.433 0.433 0.433

size of the total moment	0.07	μB per formula unit
electronic total energy	-17.443	eV per cell
mass density	2.575	g/cm³

---

2.
Below is KLiF2 after structural relaxation, with properties calculated at the GGA-PBE level.

Lattice parameters (Å, degrees): 4.262 4.262 4.262 60.00 60.00 60.00
Sites, in units of the cell vectors:
K 0.000 0.000 0.000
Li 0.500 0.500 0.500
F 0.250 0.250 0.250
F 0.750 0.750 0.750

size of the total moment	0.00	μB per formula unit
electronic total energy	-16.559	eV per cell
mass density	2.549	g/cm³

---

3.
Below is KLiF2 after structural relaxation, with properties calculated at the GGA-PBE level.

Lattice parameters (Å, degrees): 3.824 3.824 7.657 90.00 90.00 90.00
Sites, in units of the cell vectors:
K 0.250 0.250 0.179
K 0.750 0.750 0.821
Li 0.250 0.250 0.581
Li 0.750 0.750 0.419
F 0.250 0.250 0.829
F 0.250 0.750 0.500
F 0.750 0.250 0.500
F 0.750 0.750 0.171

size of the total moment	0.00	μB per formula unit
electronic total energy	-36.161	eV per cell
mass density	2.493	g/cm³

---

4.
Below is KLi2F2 after structural relaxation, with properties calculated at the GGA-PBE level.

Lattice parameters (Å, degrees): 7.360 7.360 7.360 149.85 149.85 43.16
Sites, in units of the cell vectors:
K 0.000 0.000 0.000
Li 0.250 0.750 0.500
Li 0.750 0.250 0.500
F 0.214 0.214 0.000
F 0.786 0.786 0.000

size of the total moment	0.00	μB per formula unit
electronic total energy	-19.763	eV per cell
mass density	1.506	g/cm³

---

5.
Below is KLiF2 after structural relaxation, with properties calculated at the GGA-PBE level.

Lattice parameters (Å, degrees): 5.905 5.905 5.905 148.74 148.74 44.79
Sites, in units of the cell vectors:
K 0.000 0.000 0.000
Li 0.250 0.750 0.500
F 0.354 0.354 0.000
F 0.646 0.646 0.000

size of the total moment	0.03	μB per formula unit
electronic total energy	-17.781	eV per cell
mass density	2.525	g/cm³

---

6.
Below is K3LiF after structural relaxation, with properties calculated at the GGA-PBE level.

Lattice parameters (Å, degrees): 5.674 5.674 5.674 90.00 90.00 90.00
Sites, in units of the cell vectors:
K 0.000 0.000 0.500
K 0.000 0.500 0.000
K 0.500 0.000 0.000
Li 0.500 0.500 0.500
F 0.000 0.000 0.000

size of the total moment	0.00	μB per formula unit
electronic total energy	-11.858	eV per cell
mass density	1.302	g/cm³

---

7.
Below is KLiF2 after structural relaxation, with properties calculated at the GGA-PBE level.

Lattice parameters (Å, degrees): 5.432 5.432 5.432 115.94 115.94 97.19
Sites, in units of the cell vectors:
K 0.000 0.000 0.000
K 0.750 0.250 0.500
Li 0.250 0.750 0.500
Li 0.500 0.500 0.000
F 0.225 0.625 0.100
F 0.375 0.475 0.600
F 0.525 0.125 0.900
F 0.875 0.775 0.400

size of the total moment	0.00	μB per formula unit
electronic total energy	-35.865	eV per cell
mass density	2.340	g/cm³

---

8.
Below is KLi2F after structural relaxation, with properties calculated at the GGA-PBE level.

Lattice parameters (Å, degrees): 6.668 6.668 6.668 120.05 120.05 89.91
Sites, in units of the cell vectors:
K 0.375 0.625 0.750
K 0.625 0.375 0.250
Li 0.000 0.000 0.000
Li 0.000 0.000 0.500
Li 0.000 0.500 0.000
Li 0.500 0.000 0.500
F 0.125 0.875 0.250
F 0.875 0.125 0.750

size of the total moment	0.00	μB per formula unit
electronic total energy	-23.232	eV per cell
mass density	1.141	g/cm³